Here is crystalline Li5Mn2FeB4O12 at its relaxed geometry from the Alexandria database. Energies are from GGA+U.

Geometry as POSCAR:
```
Li5Mn2FeB4O12
1.0
5.2844 0.0000 0.0000
0.0000 9.1542 0.0000
-4.9721 0.0000 9.8070
Li Mn Fe B O
10 4 2 8 24
Cartesian
0.0000 0.7007 0.0000
-2.4860 8.4535 4.9035
0.8877 2.2832 2.5758
-1.5984 6.8709 7.4793
3.6122 3.8604 2.5070
1.1261 5.2938 7.4105
1.1321 2.3884 7.6797
3.6181 6.7657 2.7762
2.7736 2.1744 4.5269
0.2876 6.9798 9.4304
-1.4585 0.6852 7.3221
1.0276 8.4690 2.4186
0.0709 3.8396 4.9405
2.5570 5.3146 0.0370
2.6860 2.2475 0.2159
0.2000 6.9067 5.1194
0.0065 3.8554 0.0434
-2.4795 5.2988 4.9469
-1.5092 3.8011 7.4796
0.9768 5.3530 2.5761
0.1299 0.8223 4.8482
-2.3562 8.3319 9.7517
3.6116 0.7121 2.3983
1.1256 8.4421 7.3018
-1.9304 4.0639 4.6312
-4.4164 5.0903 9.5347
-4.2758 2.6634 9.7742
-1.7898 6.4908 4.8707
-0.3275 0.8190 2.0914
-2.8135 8.3352 6.9949
-1.2011 0.8388 5.2567
1.2849 8.3154 0.3532
-2.1891 2.6192 7.7068
0.2969 6.5350 2.8033
0.3766 4.1365 2.9271
-2.1094 5.0176 7.8306
-1.7241 0.3898 9.4231
0.7620 8.7644 4.5196
0.8656 1.9778 4.6982
-1.6205 7.1764 9.6017
-0.2031 3.7861 6.9576
2.2829 5.3680 2.0541
2.8169 1.8739 2.3510
0.3308 7.2802 7.2545
3.9446 3.8207 0.4296
1.4586 5.3335 5.3331
0.5775 0.5168 7.6433
3.0635 8.6374 2.7398
```

- N(E_F): 0.2182 states/eV per atom
- E_tot: -6.9742 eV/atom
- Total magnetization: 26.0 μB/cell